Entry 1:
Computed, not measured: an optimized crystal structure of La7Tb2Tm2 at the PBE level of DFT.

Computed properties:
- D(E_F): 33.75 states/eV per cell
- E_tot: -49.40 eV/f.u.
- Formation enthalpy at 0 K: 0.299 eV/atom
- Polymorph energy (0 for the lowest one): 0.161 eV per atom

Cell and atoms, written as CIF:
```
data_La7Tb2Tm2
_symmetry_space_group_name_H-M 'C m m m'
_symmetry_Int_Tables_number 65
_symmetry_space_group_name_Hall '-C 2 2'
_cell_length_a 6.7406
_cell_length_b 12.1464
_cell_length_c 9.8035
_cell_angle_alpha 90.00
_cell_angle_beta 90.00
_cell_angle_gamma 90.00
loop_
_atom_site_label
_atom_site_type_symbol
_atom_site_fract_x
_atom_site_fract_y
_atom_site_fract_z
La1 La 0.0000 0.0000 0.0000
La2 La 0.0000 0.5000 0.1748
La3 La 0.2500 0.2500 0.3184
Tb1 Tb 0.0000 0.2680 0.0000
Tm1 Tm 0.2477 0.5000 0.5000
```



Entry 2:
Computed, not measured: an optimized crystal structure of La3Tb4Tm4 at the PBE level of DFT.

Computed properties:
- D(E_F): 34.49 states/eV per cell
- E_tot: -49.46 eV/f.u.
- Formation enthalpy at 0 K: 0.157 eV/atom
- Polymorph energy (0 for the lowest one): 0.128 eV per atom

Cell and atoms, written as CIF:
```
data_La3Tb4Tm4
_symmetry_space_group_name_H-M 'A m m 2'
_symmetry_Int_Tables_number 38
_cell_length_a 10.6815
_cell_length_b 5.7190
_cell_length_c 12.0987
_cell_angle_alpha 90.00
_cell_angle_beta 90.00
_cell_angle_gamma 90.00
loop_
_symmetry_equiv_pos_as_xyz
'x,y,z'
'-x,-y,z'
'-x,y,z'
'x,-y,z'
'x,y+1/2,z+1/2'
'-x,-y+1/2,z+1/2'
'-x,y+1/2,z+1/2'
'x,-y+1/2,z+1/2'
loop_
_atom_site_label
_atom_site_type_symbol
_atom_site_fract_x
_atom_site_fract_y
_atom_site_fract_z
La1 La 0.0000 0.0000 0.0000
La2 La 0.2875 0.0000 0.1579
Tb1 Tb 0.0000 0.0000 0.7017
Tb2 Tb 0.2173 0.0000 0.4954
Tb3 Tb 0.5000 0.0000 0.6353
Tm1 Tm 0.0000 0.0000 0.3059
Tm2 Tm 0.3024 0.0000 0.8532
Tm3 Tm 0.5000 0.0000 0.3626
```



Entry 3:
Computed, not measured: an optimized crystal structure of La3Tb6Tm at the PBE level of DFT.

Computed properties:
- D(E_F): 56.44 states/eV per cell
- E_tot: -45.54 eV/f.u.
- Formation enthalpy at 0 K: 0.149 eV/atom
- Polymorph energy (0 for the lowest one): 0.000 eV per atom

Cell and atoms, written as CIF:
```
data_La3Tb6Tm
_symmetry_space_group_name_H-M 'C m c 21'
_symmetry_Int_Tables_number 36
_cell_length_a 11.0396
_cell_length_b 19.1341
_cell_length_c 6.3940
_cell_angle_alpha 90.00
_cell_angle_beta 90.00
_cell_angle_gamma 90.00
loop_
_symmetry_equiv_pos_as_xyz
'x,y,z'
'-x,-y,z+1/2'
'-x,y,z'
'x,-y,z+1/2'
'x+1/2,y+1/2,z'
'-x+1/2,-y+1/2,z+1/2'
'-x+1/2,y+1/2,z'
'x+1/2,-y+1/2,z+1/2'
loop_
_atom_site_label
_atom_site_type_symbol
_atom_site_fract_x
_atom_site_fract_y
_atom_site_fract_z
La1 La 0.0000 0.1127 0.0000
La2 La 0.1730 0.3860 0.3964
Tb1 Tb 0.0000 0.2257 0.5727
Tb2 Tb 0.0000 0.4626 0.8050
Tb3 Tb 0.1693 0.0461 0.4805
Tb4 Tb 0.2394 0.2106 0.2964
Tm1 Tm 0.0000 0.3063 0.0491
```



Entry 4:
Computed, not measured: an optimized crystal structure of La3TbTm6 at the PBE level of DFT.

Computed properties:
- D(E_F): 55.70 states/eV per cell
- E_tot: -43.85 eV/f.u.
- Formation enthalpy at 0 K: 0.239 eV/atom
- Polymorph energy (0 for the lowest one): 0.000 eV per atom

Cell and atoms, written as CIF:
```
data_La3TbTm6
_symmetry_space_group_name_H-M 'C m c 21'
_symmetry_Int_Tables_number 36
_cell_length_a 11.4456
_cell_length_b 12.6101
_cell_length_c 9.4273
_cell_angle_alpha 90.00
_cell_angle_beta 90.00
_cell_angle_gamma 90.00
loop_
_symmetry_equiv_pos_as_xyz
'x,y,z'
'-x,-y,z+1/2'
'-x,y,z'
'x,-y,z+1/2'
'x+1/2,y+1/2,z'
'-x+1/2,-y+1/2,z+1/2'
'-x+1/2,y+1/2,z'
'x+1/2,-y+1/2,z+1/2'
loop_
_atom_site_label
_atom_site_type_symbol
_atom_site_fract_x
_atom_site_fract_y
_atom_site_fract_z
La1 La 0.0000 0.0222 0.0000
La2 La 0.1964 0.3906 0.8983
Tb1 Tb 0.0000 0.2572 0.3198
Tm1 Tm 0.0000 0.2396 0.7209
Tm2 Tm 0.0000 0.4918 0.6389
Tm3 Tm 0.2211 0.0933 0.7181
Tm4 Tm 0.2378 0.3419 0.5540
```



Entry 5:
Computed, not measured: an optimized crystal structure of La3TbTm6 at the PBE level of DFT.

Computed properties:
- D(E_F): 67.24 states/eV per cell
- E_tot: -43.16 eV/f.u.
- Formation enthalpy at 0 K: 0.309 eV/atom
- Polymorph energy (0 for the lowest one): 0.069 eV per atom

Cell and atoms, written as CIF:
```
data_La3TbTm6
_symmetry_space_group_name_H-M 'R 3'
_symmetry_Int_Tables_number 146
_symmetry_space_group_name_Hall 'R 3'
_cell_length_a 9.8805
_cell_length_b 9.8805
_cell_length_c 11.5583
_cell_angle_alpha 90.00
_cell_angle_beta 90.00
_cell_angle_gamma 120.00
loop_
_atom_site_label
_atom_site_type_symbol
_atom_site_fract_x
_atom_site_fract_y
_atom_site_fract_z
La1 La 0.0000 0.0000 0.0000
La2 La 0.0000 0.0000 0.2483
La3 La 0.0000 0.0000 0.4968
Tb1 Tb 0.0000 0.0000 0.7484
Tm1 Tm 0.0042 0.3290 0.4995
Tm2 Tm 0.0085 0.6707 0.6653
```



Entry 6:
Computed, not measured: an optimized crystal structure of LaTb9Tm2 at the PBE level of DFT.

Computed properties:
- D(E_F): 19.00 states/eV per cell
- E_tot: -55.23 eV/f.u.
- Formation enthalpy at 0 K: 0.026 eV/atom

Cell and atoms, written as CIF:
```
data_LaTb9Tm2
_symmetry_space_group_name_H-M 'P 4/m m m'
_symmetry_Int_Tables_number 123
_symmetry_space_group_name_Hall '-P 4 2'
_cell_length_a 5.0410
_cell_length_b 5.0410
_cell_length_c 15.1484
_cell_angle_alpha 90.00
_cell_angle_beta 90.00
_cell_angle_gamma 90.00
loop_
_atom_site_label
_atom_site_type_symbol
_atom_site_fract_x
_atom_site_fract_y
_atom_site_fract_z
La1 La 0.0000 0.0000 0.0000
Tb1 Tb 0.0000 0.5000 0.1711
Tb2 Tb 0.0000 0.5000 0.5000
Tb3 Tb 0.5000 0.5000 0.0000
Tb4 Tb 0.5000 0.5000 0.3366
Tm1 Tm 0.0000 0.0000 0.3351
```